## NaZrI2O (GGA-PBE)

Data for a relaxed structure of NaZrI2O.

Computed properties:
E_form (uncorrected) in eV per formula unit: 0.54
Energy above the lowest structure with this stoichiometry in meV per atom: 1492.9
Total magnetization in μB per formula unit: 1.42
Space group: No. 123
Electronic total energy in eV/atom: -3.48

abc: 5.5484 5.5484 4.0417
angles: 90.00 90.00 90.00
Site moments in Bohr magnetons follow the coordinates.
Atoms (fractional coordinates):
O1 0.0000 0.0000 0.5000  -0.16
Zr1 0.5000 0.5000 0.5000  -0.85
I1 0.0000 0.5000 0.0000  0.02
I2 0.5000 0.0000 0.0000  0.02
Na1 0.0000 0.0000 0.0000  0.00



## AgAu2Se (GGA-PBE)

Data for a relaxed structure of AgAu2Se.

Computed properties:
E_form (uncorrected) in eV per formula unit: 0.80
Total magnetization in μB per formula unit: 0.00
Space group: No. 216
Electronic total energy in eV/atom: -3.02

abc: 4.7675 4.7675 4.7675
angles: 60.00 60.00 60.00
Atoms (fractional coordinates):
Au1 0.7500 0.7500 0.7500
Au2 0.0000 0.0000 0.0000
Ag1 0.5000 0.5000 0.5000
Se1 0.2500 0.2500 0.2500